{
  "formula": "MnGe2O6",
  "functional": "PBE+U",
  "state": "optimized geometry",
  "lattice": [[-1.040, 0.267, 5.429], [-3.268, -5.573, 1.454], [4.995, -3.220, 2.920]],
  "species": ["O", "O", "O", "O", "O", "O", "O", "O", "O", "O", "O", "O", "Mn", "Mn", "Ge", "Ge", "Ge", "Ge"],
  "fractional_positions": [[0.943, 0.394, 0.337], [0.630, 0.818, 0.979], [0.057, 0.606, 0.663], [0.130, 0.979, 0.818], [0.249, 0.636, 0.065], [0.370, 0.182, 0.021], [0.870, 0.021, 0.182], [0.251, 0.935, 0.364], [0.443, 0.337, 0.394], [0.749, 0.065, 0.636], [0.557, 0.663, 0.606], [0.751, 0.364, 0.935], [0.750, 0.087, 0.913], [0.250, 0.913, 0.087], [0.264, 0.389, 0.204], [0.236, 0.796, 0.611], [0.736, 0.611, 0.796], [0.764, 0.204, 0.389]],
  "e_tot_ha_per_atom": -0.2424,
  "m_tot_mub_per_atom": 0.33,
  "de_polymorph_ev_per_atom": 0.074
}